# SrCoCCl2 PBE relaxed
# VASP energy = -15.57 eV/cell
# DOS(E_F) = 21.686 states/eV/f.u.
# V = 265 Å³/cell
# formation energy without anion corrections = 1.23 eV per atom
data_SrCoCCl2
_chemical_formula_sum 'Sr1 Co1 C1 Cl2'
_cell_length_a 5.4541
_cell_length_b 5.4541
_cell_length_c 8.9090
_cell_angle_alpha 90.00
_cell_angle_beta 90.00
_cell_angle_gamma 90.00
_space_group_name_H-M_alt 'P 4/m m m'
_space_group_IT_number 123
_space_group_name_Hall '-P 4 2'
loop_
_atom_site_label
_atom_site_fract_x
_atom_site_fract_y
_atom_site_fract_z
_atom_site_occupancy
Sr1 0.0000 0.0000 0.0000 1
Co1 0.0000 0.0000 0.5000 1
C1 0.5000 0.5000 0.5000 1
Cl1 0.0000 0.5000 0.0000 1

***

# Pm5Nd3Tm2 PBE relaxed
# VASP energy = -180.90 eV/cell
# DOS(E_F) = 16.775 states/eV/f.u.
# V = 1371 Å³/cell
data_Pm5Nd3Tm2
_chemical_formula_sum 'Pm20 Nd12 Tm8'
_cell_length_a 10.8650
_cell_length_b 15.1288
_cell_length_c 9.9380
_cell_angle_alpha 90.00
_cell_angle_beta 122.92
_cell_angle_gamma 90.00
_space_group_name_H-M_alt 'C 1 2/c 1'
_space_group_IT_number 15
loop_
_space_group_symop_operation_xyz
'x,y,z'
'-x,-y,-z'
'-x,y,-z+1/2'
'x,-y,z+1/2'
'x+1/2,y+1/2,z'
'-x+1/2,-y+1/2,-z'
'-x+1/2,y+1/2,-z+1/2'
'x+1/2,-y+1/2,z+1/2'
loop_
_atom_site_label
_atom_site_fract_x
_atom_site_fract_y
_atom_site_fract_z
_atom_site_occupancy
Pm1 0.0000 0.0207 0.2500 1
Pm2 0.0000 0.2726 0.7500 1
Pm3 0.0000 0.4748 0.7500 1
Pm4 0.2367 0.3773 0.2305 1
Nd1 0.0000 0.2287 0.2500 1
Nd2 0.1475 0.1261 0.0539 1
Tm1 0.1561 0.3766 0.5525 1

***

# Y2GeTeAu PBE relaxed
# VASP energy = -22.75 eV/cell
# DOS(E_F) = 5.129 states/eV/f.u.
# V = 164 Å³/cell
# formation energy without anion corrections = 0.24 eV per atom
data_Y2GeTeAu
_chemical_formula_sum 'Y2 Ge1 Te1 Au1'
_cell_length_a 5.6564
_cell_length_b 5.6564
_cell_length_c 5.1157
_cell_angle_alpha 90.00
_cell_angle_beta 90.00
_cell_angle_gamma 90.00
_space_group_name_H-M_alt 'P 4/m m m'
_space_group_IT_number 123
_space_group_name_Hall '-P 4 2'
loop_
_atom_site_label
_atom_site_fract_x
_atom_site_fract_y
_atom_site_fract_z
_atom_site_occupancy
Y1 0.0000 0.5000 0.0000 1
Ge1 0.0000 0.0000 0.5000 1
Te1 0.0000 0.0000 0.0000 1
Au1 0.5000 0.5000 0.5000 1

***

# MgNiAgCl6 PBE relaxed
# VASP energy = -58.87 eV/cell
# DOS(E_F) = 3.463 states/eV/f.u.
# V = 394 Å³/cell
# formation energy without anion corrections = -0.90 eV per atom
data_MgNiAgCl6
_chemical_formula_sum 'Mg2 Ni2 Ag2 Cl12'
_cell_length_a 6.2243
_cell_length_b 6.2243
_cell_length_c 11.7545
_cell_angle_alpha 90.00
_cell_angle_beta 90.00
_cell_angle_gamma 120.00
_space_group_name_H-M_alt 'P -3 1 c'
_space_group_IT_number 163
_space_group_name_Hall '-P 3 2c'
loop_
_atom_site_label
_atom_site_fract_x
_atom_site_fract_y
_atom_site_fract_z
_atom_site_occupancy
Mg1 0.3333 0.6667 0.2500 1
Ni1 0.3333 0.6667 0.7500 1
Ag1 0.0000 0.0000 0.0000 1
Cl1 0.0217 0.3666 0.6352 1